A geometry-optimized BaLi3Ti structure, computed with PBE.

Its formation energy is 28.98 kcal/mol of atoms. The value obtained for the total magnetization is 2.98 μB per formula unit.

Unit cell a=5.2458 b=5.2458 c=5.2458 alpha=90.00 beta=90.00 gamma=90.00
Closest atoms and distances in Å follow each position.
Space group Pm-3m (No. 221)
Symmetry-distinct sites (fractional):
Ba (0.0000, 0.0000, 0.0000)  6 Li 2.62
Li (0.0000, 0.0000, 0.5000)  2 Ba 2.62
Ti (0.5000, 0.5000, 0.5000)  12 Li 3.71